LiTmPu2Te5 | Alexandria via LeMat-Bulk | PBE | optimized geometry; V = 613.7 Å³ per cell; SG = Cmc2_1, No. 36; formation energy without anion corrections = -0.927 eV per atom
1.0
-0.616 -4.922 -1.474
7.056 0.578 4.207
-7.443 -2.928 12.887
Li Tm Pu Te
2 2 4 10
direct
0.690 0.379 0.987
0.310 0.621 0.487
0.694 0.388 0.257
0.306 0.612 0.757
0.987 0.974 0.991
0.026 0.052 0.749
0.013 0.026 0.491
0.974 0.948 0.249
0.488 0.976 0.866
0.452 0.904 0.618
0.833 0.667 0.402
0.161 0.321 0.338
0.176 0.352 0.615
0.512 0.024 0.366
0.548 0.096 0.118
0.167 0.333 0.902
0.839 0.679 0.838
0.824 0.648 0.115